Computed, not measured: a relaxed structure of EuGa2Sb at the PBE level of DFT.

Structure (CIF):
```
data_EuGa2Sb
_chemical_formula_sum 'Eu1 Ga2 Sb1'
_cell_length_a 4.5524
_cell_length_b 4.5680
_cell_length_c 4.5680
_cell_angle_alpha 90.00
_cell_angle_beta 90.00
_cell_angle_gamma 90.00
_space_group_name_H-M_alt 'P 1'
_space_group_IT_number 1
loop_
_space_group_symop_operation_xyz
'x,y,z'
loop_
_atom_site_label
_atom_site_type_symbol
_atom_site_fract_x
_atom_site_fract_y
_atom_site_fract_z
_atom_site_occupancy
Ga1 Ga 0.0000 0.5000 0.0000 1
Ga2 Ga 0.0000 0.0000 0.5000 1
Eu1 Eu 0.5000 0.0000 0.0000 1
Sb1 Sb 0.5000 0.5000 0.5000 1
```

## Properties
E_form (uncorrected)	-469.2	meV/atom
DFT total energy	-22.33	eV per cell
space-group type	P4/mmm

***

Computed, not measured: a relaxed structure of Tb5Pm4Sm4 at the PBE level of DFT.

Structure (CIF):
```
data_Tb5Pm4Sm4
_chemical_formula_sum 'Tb5 Pm4 Sm4'
_cell_length_a 5.0834
_cell_length_b 9.5639
_cell_length_c 9.5639
_cell_angle_alpha 85.95
_cell_angle_beta 74.59
_cell_angle_gamma 74.59
_space_group_name_H-M_alt 'P 1'
_space_group_IT_number 1
loop_
_space_group_symop_operation_xyz
'x,y,z'
loop_
_atom_site_label
_atom_site_type_symbol
_atom_site_fract_x
_atom_site_fract_y
_atom_site_fract_z
_atom_site_occupancy
Pm1 Pm 0.6161 0.3060 0.4619 1
Pm2 Pm 0.0779 0.5381 0.3060 1
Pm3 Pm 0.3839 0.6940 0.5381 1
Pm4 Pm 0.9221 0.4619 0.6940 1
Tb1 Tb 0.6906 0.8478 0.7709 1
Tb2 Tb 0.4615 0.2291 0.8478 1
Tb3 Tb 0.3094 0.1522 0.2291 1
Tb4 Tb 0.5385 0.7709 0.1522 1
Tb5 Tb 0.0000 0.0000 0.0000 1
Sm1 Sm 0.1532 0.0765 0.6172 1
Sm2 Sm 0.2296 0.6172 0.9235 1
Sm3 Sm 0.7704 0.3828 0.0765 1
Sm4 Sm 0.8468 0.9235 0.3828 1
```

## Properties
formation energy from the elements	13	meV per atom
DFT total energy	-60.86	eV per cell
space-group type	I4/m

***

Computed, not measured: a relaxed structure of TlCu2Se2O10 at the PBE level of DFT.

Structure (CIF):
```
data_TlCu2Se2O10
_chemical_formula_sum 'Tl1 Cu2 Se2 O10'
_cell_length_a 5.7727
_cell_length_b 5.7727
_cell_length_c 9.1131
_cell_angle_alpha 66.16
_cell_angle_beta 66.16
_cell_angle_gamma 65.33
_space_group_name_H-M_alt 'P 1'
_space_group_IT_number 1
loop_
_space_group_symop_operation_xyz
'x,y,z'
loop_
_atom_site_label
_atom_site_type_symbol
_atom_site_fract_x
_atom_site_fract_y
_atom_site_fract_z
_atom_site_occupancy
O1 O 0.1624 0.1624 0.8423 1
O2 O 0.2866 0.8340 0.2056 1
O3 O 0.8340 0.2866 0.2056 1
O4 O 0.7134 0.1660 0.7944 1
O5 O 0.6798 0.6798 0.9616 1
O6 O 0.1637 0.1637 0.5393 1
O7 O 0.3202 0.3202 0.0384 1
O8 O 0.8376 0.8376 0.1577 1
O9 O 0.1660 0.7134 0.7944 1
O10 O 0.8363 0.8363 0.4607 1
Se1 Se 0.0569 0.0569 0.7436 1
Se2 Se 0.9431 0.9431 0.2564 1
Cu1 Cu 0.5000 0.0000 0.0000 1
Cu2 Cu 0.0000 0.5000 0.0000 1
Tl1 Tl 0.5000 0.5000 0.5000 1
```

## Properties
E_form (uncorrected)	-477.4	meV/atom
DFT total energy	-74.27	eV per cell
space-group type	C2/m

***

Computed, not measured: a relaxed structure of CaPt2Cl at the PBE level of DFT.

Structure (CIF):
```
data_CaPt2Cl
_chemical_formula_sum 'Ca1 Pt2 Cl1'
_cell_length_a 5.9651
_cell_length_b 5.9651
_cell_length_c 3.0427
_cell_angle_alpha 90.00
_cell_angle_beta 90.00
_cell_angle_gamma 129.33
_space_group_name_H-M_alt 'P 1'
_space_group_IT_number 1
loop_
_space_group_symop_operation_xyz
'x,y,z'
loop_
_atom_site_label
_atom_site_type_symbol
_atom_site_fract_x
_atom_site_fract_y
_atom_site_fract_z
_atom_site_occupancy
Pt1 Pt 0.5000 0.5000 0.0000 1
Pt2 Pt 0.0000 0.0000 0.0000 1
Cl1 Cl 0.0000 0.5000 0.5000 1
Ca1 Ca 0.5000 0.0000 0.5000 1
```

## Properties
E_form (uncorrected)	-215.4	meV/atom
DFT total energy	-16.79	eV per cell
space-group type	Cmmm

***

Computed, not measured: a relaxed structure of ErAsPt at the PBE level of DFT.

Structure (CIF):
```
data_ErAsPt
_chemical_formula_sum 'Er4 As4 Pt4'
_cell_length_a 4.2792
_cell_length_b 4.2792
_cell_length_c 15.1825
_cell_angle_alpha 90.00
_cell_angle_beta 90.00
_cell_angle_gamma 120.00
_space_group_name_H-M_alt 'P 1'
_space_group_IT_number 1
loop_
_space_group_symop_operation_xyz
'x,y,z'
loop_
_atom_site_label
_atom_site_type_symbol
_atom_site_fract_x
_atom_site_fract_y
_atom_site_fract_z
_atom_site_occupancy
Er1 Er 0.0000 0.0000 0.0000 1
Er2 Er 0.0000 0.0000 0.5000 1
Er3 Er 0.0000 0.0000 0.2500 1
Er4 Er 0.0000 0.0000 0.7500 1
Pt1 Pt 0.3333 0.6667 0.3622 1
Pt2 Pt 0.3333 0.6667 0.1378 1
Pt3 Pt 0.6667 0.3333 0.8622 1
Pt4 Pt 0.6667 0.3333 0.6378 1
As1 As 0.3333 0.6667 0.8858 1
As2 As 0.6667 0.3333 0.3858 1
As3 As 0.6667 0.3333 0.1142 1
As4 As 0.3333 0.6667 0.6142 1
```

## Properties
formation energy from the elements	-1215	meV per atom
DFT total energy	-75.60	eV per cell
space-group type	P6_3/mmc

***

Computed, not measured: a relaxed structure of LaFeMo2H at the PBE level of DFT.

Structure (CIF):
```
data_LaFeMo2H
_chemical_formula_sum 'La1 Fe1 Mo2 H1'
_cell_length_a 4.7335
_cell_length_b 3.5851
_cell_length_c 4.7335
_cell_angle_alpha 90.00
_cell_angle_beta 90.00
_cell_angle_gamma 90.00
_space_group_name_H-M_alt 'P 1'
_space_group_IT_number 1
loop_
_space_group_symop_operation_xyz
'x,y,z'
loop_
_atom_site_label
_atom_site_type_symbol
_atom_site_fract_x
_atom_site_fract_y
_atom_site_fract_z
_atom_site_occupancy
H1 H 0.0000 0.5000 0.0000 1
Fe1 Fe 0.0000 0.0000 0.0000 1
La1 La 0.5000 0.5000 0.5000 1
Mo1 Mo 0.5000 0.0000 0.0000 1
Mo2 Mo 0.0000 0.0000 0.5000 1
```

## Properties
DFT total energy	-33.85	eV per cell
space-group type	P4/mmm

***

Computed, not measured: a relaxed structure of AcScAu2 at the PBE level of DFT.

Structure (CIF):
```
data_AcScAu2
_chemical_formula_sum 'Ac1 Sc1 Au2'
_cell_length_a 4.8304
_cell_length_b 4.8304
_cell_length_c 5.8892
_cell_angle_alpha 65.79
_cell_angle_beta 65.79
_cell_angle_gamma 60.00
_space_group_name_H-M_alt 'P 1'
_space_group_IT_number 1
loop_
_space_group_symop_operation_xyz
'x,y,z'
loop_
_atom_site_label
_atom_site_type_symbol
_atom_site_fract_x
_atom_site_fract_y
_atom_site_fract_z
_atom_site_occupancy
Au1 Au 0.2090 0.2090 0.3729 1
Au2 Au 0.7910 0.7910 0.6271 1
Sc1 Sc 0.5000 0.5000 0.5000 1
Ac1 Ac 0.0000 0.0000 0.0000 1
```

## Properties
formation energy from the elements	-760	meV per atom
DFT total energy	-20.03	eV per cell
space-group type	R-3m

***

Computed, not measured: a relaxed structure of Sr8Mn3N9 at the PBE level of DFT.

Structure (CIF):
```
data_Sr8Mn3N9
_chemical_formula_sum 'Sr32 Mn12 N36'
_cell_length_a 7.5969
_cell_length_b 10.6950
_cell_length_c 18.3488
_cell_angle_alpha 90.00
_cell_angle_beta 97.30
_cell_angle_gamma 90.00
_space_group_name_H-M_alt 'P 1'
_space_group_IT_number 1
loop_
_space_group_symop_operation_xyz
'x,y,z'
loop_
_atom_site_label
_atom_site_type_symbol
_atom_site_fract_x
_atom_site_fract_y
_atom_site_fract_z
_atom_site_occupancy
N1 N 0.4965 0.1234 0.9232 1
N2 N 0.0035 0.6234 0.5768 1
N3 N 0.2634 0.2659 0.6812 1
N4 N 0.5270 0.3848 0.7831 1
N5 N 0.4907 0.3802 0.0664 1
N6 N 0.5093 0.6198 0.9336 1
N7 N 0.9965 0.3766 0.4232 1
N8 N 0.6449 0.0625 0.3004 1
N9 N 0.9907 0.1198 0.5664 1
N10 N 0.5035 0.8766 0.0768 1
N11 N 0.0270 0.1152 0.2831 1
N12 N 0.1719 0.3621 0.1464 1
N13 N 0.3683 0.8723 0.5203 1
N14 N 0.7634 0.2341 0.1812 1
N15 N 0.1517 0.8825 0.9816 1
N16 N 0.0093 0.8802 0.4336 1
N17 N 0.6719 0.1379 0.6464 1
N18 N 0.6549 0.6252 0.6464 1
N19 N 0.2366 0.7659 0.8188 1
N20 N 0.8451 0.1252 0.8536 1
N21 N 0.8483 0.1175 0.0184 1
N22 N 0.1449 0.4375 0.8004 1
N23 N 0.3451 0.3748 0.3535 1
N24 N 0.3281 0.8621 0.3536 1
N25 N 0.7366 0.7341 0.3188 1
N26 N 0.9730 0.8848 0.7169 1
N27 N 0.8281 0.6379 0.8536 1
N28 N 0.6517 0.6175 0.4816 1
N29 N 0.3551 0.9375 0.6996 1
N30 N 0.3483 0.3825 0.5184 1
N31 N 0.1317 0.3723 0.9797 1
N32 N 0.8683 0.6277 0.0203 1
N33 N 0.4730 0.6152 0.2169 1
N34 N 0.8551 0.5625 0.1996 1
N35 N 0.6317 0.1277 0.4797 1
N36 N 0.1549 0.8748 0.1464 1
Sr1 Sr 0.6352 0.8796 0.6456 1
Sr2 Sr 0.6401 0.3702 0.4497 1
Sr3 Sr 0.9372 0.1259 0.4174 1
Sr4 Sr 0.0032 0.8731 0.2815 1
Sr5 Sr 0.1502 0.6203 0.9349 1
Sr6 Sr 0.0628 0.8741 0.5826 1
Sr7 Sr 0.3599 0.6298 0.5503 1
Sr8 Sr 0.4846 0.8699 0.2299 1
Sr9 Sr 0.0724 0.1227 0.1439 1
Sr10 Sr 0.9276 0.8773 0.8561 1
Sr11 Sr 0.4968 0.3731 0.2185 1
Sr12 Sr 0.6502 0.8797 0.4349 1
Sr13 Sr 0.0154 0.3699 0.2701 1
Sr14 Sr 0.3648 0.1204 0.3544 1
Sr15 Sr 0.4424 0.8730 0.9231 1
Sr16 Sr 0.5576 0.1270 0.0769 1
Sr17 Sr 0.9846 0.6301 0.7299 1
Sr18 Sr 0.9424 0.6270 0.4231 1
Sr19 Sr 0.1401 0.1298 0.9497 1
Sr20 Sr 0.0576 0.3730 0.5769 1
Sr21 Sr 0.5032 0.6269 0.7815 1
Sr22 Sr 0.8648 0.3796 0.8544 1
Sr23 Sr 0.5154 0.1301 0.7701 1
Sr24 Sr 0.8498 0.3797 0.0651 1
Sr25 Sr 0.8599 0.8702 0.0503 1
Sr26 Sr 0.4276 0.6227 0.3561 1
Sr27 Sr 0.9968 0.1269 0.7185 1
Sr28 Sr 0.5628 0.6259 0.0826 1
Sr29 Sr 0.5724 0.3773 0.6439 1
Sr30 Sr 0.3498 0.1203 0.5651 1
Sr31 Sr 0.4372 0.3741 0.9174 1
Sr32 Sr 0.1352 0.6204 0.1456 1
Mn1 Mn 0.2353 0.8696 0.4369 1
Mn2 Mn 0.7963 0.1284 0.2513 1
Mn3 Mn 0.7647 0.1304 0.5631 1
Mn4 Mn 0.2037 0.8716 0.7487 1
Mn5 Mn 0.2963 0.3716 0.7513 1
Mn6 Mn 0.2271 0.3803 0.4309 1
Mn7 Mn 0.7353 0.6304 0.9369 1
Mn8 Mn 0.7037 0.6284 0.2487 1
Mn9 Mn 0.2729 0.8803 0.0691 1
Mn10 Mn 0.7271 0.1197 0.9309 1
Mn11 Mn 0.7729 0.6197 0.5691 1
Mn12 Mn 0.2647 0.3696 0.0631 1
```

## Properties
E_form (uncorrected)	-741.6	meV/atom
DFT total energy	-522.89	eV per cell
space-group type	P2_1/c

***

Computed, not measured: a relaxed structure of AcPrHo2Tm4 at the PBE level of DFT.

Structure (CIF):
```
data_AcPrHo2Tm4
_chemical_formula_sum 'Ac2 Pr2 Ho4 Tm8'
_cell_length_a 9.5973
_cell_length_b 9.5973
_cell_length_c 11.8794
_cell_angle_alpha 128.24
_cell_angle_beta 128.24
_cell_angle_gamma 88.71
_space_group_name_H-M_alt 'P 1'
_space_group_IT_number 1
loop_
_space_group_symop_operation_xyz
'x,y,z'
loop_
_atom_site_label
_atom_site_type_symbol
_atom_site_fract_x
_atom_site_fract_y
_atom_site_fract_z
_atom_site_occupancy
Ho1 Ho 0.5000 0.0000 0.0000 1
Ho2 Ho 0.0000 0.0000 0.5000 1
Ho3 Ho 0.5000 0.0000 0.5000 1
Ho4 Ho 0.5000 0.5000 0.0000 1
Tm1 Tm 0.7404 0.7598 0.4944 1
Tm2 Tm 0.2598 0.2404 0.9944 1
Tm3 Tm 0.2577 0.7678 0.5128 1
Tm4 Tm 0.2596 0.2402 0.5056 1
Tm5 Tm 0.7402 0.7596 0.0056 1
Tm6 Tm 0.2678 0.7577 0.0128 1
Tm7 Tm 0.7422 0.2322 0.4872 1
Tm8 Tm 0.7322 0.2423 0.9872 1
Pr1 Pr 0.0000 0.0000 0.0000 1
Pr2 Pr 0.5000 0.5000 0.5000 1
Ac1 Ac 0.0000 0.5000 0.5000 1
Ac2 Ac 0.0000 0.5000 0.0000 1
```

## Properties
formation energy from the elements	451	meV per atom
DFT total energy	-64.64	eV per cell
space-group type	Imma

***

Computed, not measured: a relaxed structure of CsKNa2As at the PBE level of DFT.

Structure (CIF):
```
data_CsKNa2As
_chemical_formula_sum 'Cs1 K1 Na2 As1'
_cell_length_a 5.8569
_cell_length_b 5.8569
_cell_length_c 7.1485
_cell_angle_alpha 90.00
_cell_angle_beta 90.00
_cell_angle_gamma 90.00
_space_group_name_H-M_alt 'P 1'
_space_group_IT_number 1
loop_
_space_group_symop_operation_xyz
'x,y,z'
loop_
_atom_site_label
_atom_site_type_symbol
_atom_site_fract_x
_atom_site_fract_y
_atom_site_fract_z
_atom_site_occupancy
Na1 Na 0.5000 0.0000 0.0000 1
Na2 Na 0.0000 0.5000 0.0000 1
As1 As 0.0000 0.0000 0.0000 1
K1 K 0.5000 0.5000 0.5000 1
Cs1 Cs 0.0000 0.0000 0.5000 1
```

## Properties
formation energy from the elements	-120	meV per atom
DFT total energy	-9.84	eV per cell
space-group type	P4/mmm

***

| no. | mass density (g cm⁻³) |
| --- | --- |
| 1 | 7.22 |
| 2 | 7.59 |
| 3 | 4.45 |
| 4 | 9.23 |
| 5 | 12.06 |
| 6 | 8.01 |
| 7 | 10.55 |
| 8 | 4.46 |
| 9 | 8.33 |
| 10 | 1.98 |